--- one ---
First-principles (PBE-GGA) data for a geometry-optimized TiTe2RuN structure, as listed in Alexandria.

Unit cell a=5.419 b=5.419 c=3.649 alpha=90.00 beta=90.00 gamma=90.00
Fractional coordinates of all 5 atoms:
Ti (0.000, 0.000, 0.000)
Te (0.000, 0.500, 0.500)
Te (0.500, 0.000, 0.500)
Ru (0.500, 0.500, 0.500)
N (0.500, 0.500, 0.000)

## Properties
**Total magnetization**: 1.66 Bohr magnetons per cell
**Calculated volume**: 107.2 Å³/cell

---

--- two ---
First-principles (PBE-GGA) data for a geometry-optimized TiTe2RuN structure, as listed in Alexandria.

Unit cell a=5.417 b=5.417 c=3.638 alpha=90.00 beta=90.00 gamma=90.00
Fractional coordinates of all 5 atoms:
Ti (0.000, 0.000, 0.000)
Te (0.000, 0.500, 0.000)
Te (0.500, 0.000, 0.000)
Ru (0.500, 0.500, 0.500)
N (0.000, 0.000, 0.500)

## Properties
**Total magnetization**: 1.67 Bohr magnetons per cell
**Calculated volume**: 106.8 Å³/cell

---

Energies in kJ/mol of atoms, measured from the most stable structure: one 0.0; two 23.1.

---

--- one ---
First-principles (PBE-GGA) data for a geometry-optimized VTe2RuN structure, as listed in Alexandria.

Unit cell a=5.266 b=5.266 c=3.553 alpha=90.00 beta=90.00 gamma=90.00
Fractional coordinates of all 5 atoms:
V (0.000, 0.000, 0.000)
Te (0.000, 0.500, 0.000)
Te (0.500, 0.000, 0.000)
Ru (0.500, 0.500, 0.500)
N (0.000, 0.000, 0.500)

## Properties
**Total magnetization**: 1.62 Bohr magnetons per cell
**Calculated volume**: 98.5 Å³/cell

---

--- two ---
First-principles (PBE-GGA) data for a geometry-optimized VTe2RuN structure, as listed in Alexandria.

Unit cell a=5.417 b=5.417 c=3.632 alpha=90.00 beta=90.00 gamma=90.00
Fractional coordinates of all 5 atoms:
V (0.000, 0.000, 0.000)
Te (0.000, 0.500, 0.500)
Te (0.500, 0.000, 0.500)
Ru (0.500, 0.500, 0.500)
N (0.500, 0.500, 0.000)

## Properties
**Total magnetization**: 3.00 Bohr magnetons per cell
**Calculated volume**: 106.6 Å³/cell

---

Energies in kJ/mol of atoms, measured from the most stable structure: one 9.0; two 0.0.

---

--- one ---
First-principles (PBE-GGA) data for a geometry-optimized VTeRuN2 structure, as listed in Alexandria.

Unit cell a=3.832 b=3.832 c=5.715 alpha=90.00 beta=90.00 gamma=90.00
Fractional coordinates of all 5 atoms:
V (0.000, 0.000, 0.000)
Te (0.500, 0.500, 0.000)
Ru (0.500, 0.500, 0.500)
N (0.000, 0.500, 0.500)
N (0.500, 0.000, 0.500)

## Properties
**Total magnetization**: 0.20 Bohr magnetons per cell
**Calculated volume**: 83.9 Å³/cell

---

--- two ---
First-principles (PBE-GGA) data for a geometry-optimized VTeRuN2 structure, as listed in Alexandria.

Unit cell a=3.762 b=3.762 c=5.704 alpha=90.00 beta=90.00 gamma=90.00
Fractional coordinates of all 5 atoms:
V (0.000, 0.000, 0.000)
Te (0.000, 0.000, 0.500)
Ru (0.500, 0.500, 0.500)
N (0.000, 0.500, 0.000)
N (0.500, 0.000, 0.000)

## Properties
**Total magnetization**: 0.90 Bohr magnetons per cell
**Calculated volume**: 80.7 Å³/cell

---

Energies in kJ/mol of atoms, measured from the most stable structure: one 25.3; two 0.0.

---

--- one ---
First-principles (PBE-GGA) data for a geometry-optimized YTeRuN2 structure, as listed in Alexandria.

Unit cell a=4.340 b=4.340 c=6.280 alpha=90.00 beta=90.00 gamma=90.00
Fractional coordinates of all 5 atoms:
Y (0.000, 0.000, 0.000)
Te (0.000, 0.000, 0.500)
Ru (0.500, 0.500, 0.500)
N (0.000, 0.500, 0.000)
N (0.500, 0.000, 0.000)

## Properties
**Total magnetization**: 6.19 Bohr magnetons per cell
**Calculated volume**: 118.3 Å³/cell

---

--- two ---
First-principles (PBE-GGA) data for a geometry-optimized YTeRuN2 structure, as listed in Alexandria.

Unit cell a=4.045 b=4.045 c=5.395 alpha=90.00 beta=90.00 gamma=90.00
Fractional coordinates of all 5 atoms:
Y (0.000, 0.000, 0.000)
Te (0.500, 0.500, 0.000)
Ru (0.500, 0.500, 0.500)
N (0.000, 0.500, 0.500)
N (0.500, 0.000, 0.500)

## Properties
**Total magnetization**: 0.18 Bohr magnetons per cell
**Calculated volume**: 88.3 Å³/cell

---

Energies in kJ/mol of atoms, measured from the most stable structure: one 93.5; two 0.0.

---

--- one ---
First-principles (PBE-GGA) data for a geometry-optimized YTe2RuN structure, as listed in Alexandria.

Unit cell a=5.495 b=5.495 c=3.739 alpha=90.00 beta=90.00 gamma=90.00
Fractional coordinates of all 5 atoms:
Y (0.000, 0.000, 0.000)
Te (0.000, 0.500, 0.500)
Te (0.500, 0.000, 0.500)
Ru (0.500, 0.500, 0.500)
N (0.500, 0.500, 0.000)

## Properties
**Total magnetization**: 0.00 Bohr magnetons per cell
**Calculated volume**: 112.9 Å³/cell

---

--- two ---
First-principles (PBE-GGA) data for a geometry-optimized YTe2RuN structure, as listed in Alexandria.

Unit cell a=5.926 b=5.926 c=4.023 alpha=90.00 beta=90.00 gamma=90.00
Fractional coordinates of all 5 atoms:
Y (0.000, 0.000, 0.000)
Te (0.000, 0.500, 0.000)
Te (0.500, 0.000, 0.000)
Ru (0.500, 0.500, 0.500)
N (0.000, 0.000, 0.500)

## Properties
**Total magnetization**: 2.36 Bohr magnetons per cell
**Calculated volume**: 141.3 Å³/cell

---

Energies in kJ/mol of atoms, measured from the most stable structure: one 0.0; two 119.2.

---

--- one ---
First-principles (PBE-GGA) data for a geometry-optimized ZrTeRuN2 structure, as listed in Alexandria.

Unit cell a=4.102 b=4.102 c=6.108 alpha=90.00 beta=90.00 gamma=90.00
Fractional coordinates of all 5 atoms:
Zr (0.000, 0.000, 0.000)
Te (0.000, 0.000, 0.500)
Ru (0.500, 0.500, 0.500)
N (0.000, 0.500, 0.000)
N (0.500, 0.000, 0.000)

## Properties
**Total magnetization**: 2.85 Bohr magnetons per cell
**Calculated volume**: 102.8 Å³/cell

---

--- two ---
First-principles (PBE-GGA) data for a geometry-optimized ZrTeRuN2 structure, as listed in Alexandria.

Unit cell a=3.972 b=3.972 c=5.338 alpha=90.00 beta=90.00 gamma=90.00
Fractional coordinates of all 5 atoms:
Zr (0.000, 0.000, 0.000)
Te (0.500, 0.500, 0.000)
Ru (0.500, 0.500, 0.500)
N (0.000, 0.500, 0.500)
N (0.500, 0.000, 0.500)

## Properties
**Total magnetization**: 0.00 Bohr magnetons per cell
**Calculated volume**: 84.2 Å³/cell

---

Energies in kJ/mol of atoms, measured from the most stable structure: one 18.6; two 0.0.